Entry 1:
Below is a relaxed CoHg crystal, with properties calculated at the PBE level.

## Properties
* ΔH_f (0 K): 106 kJ/mol of formula units

POSCAR file:
```
CoHg
1.0
0.0000 3.9178 6.8730
2.5806 0.0000 6.8730
2.5806 3.9178 0.0000
Co Hg
4 4
Direct
0.0416 0.0416 0.2084
0.2084 0.2084 0.0416
0.7916 0.7916 0.9584
0.9584 0.9584 0.7916
0.2014 0.5486 0.2014
0.4514 0.7986 0.4514
0.5486 0.2014 0.5486
0.7986 0.4514 0.7986
```

=====

Entry 2:
Below is a relaxed CoHg3 crystal, with properties calculated at the PBE level.

## Properties
* excess energy over the best structure of this formula in the dataset: 191 meV per atom
* ΔH_f (0 K): 181 kJ/mol of formula units

POSCAR file:
```
CoHg3
1.0
4.2714 0.0000 0.0000
0.0000 4.2714 0.0000
0.0000 0.0000 4.2714
Co Hg
1 3
Direct
0.0000 0.0000 0.0000
0.0000 0.5000 0.5000
0.5000 0.0000 0.5000
0.5000 0.5000 0.0000
```

=====

Entry 3:
Below is a relaxed Co5Hg crystal, with properties calculated at the PBE level.

## Properties
* ΔH_f (0 K): 161 kJ/mol of formula units

POSCAR file:
```
Co5Hg
1.0
4.7088 -1.3610 0.0000
4.7088 1.3610 0.0000
-1.8990 0.0000 5.9329
Co Hg
5 1
Direct
0.0000 0.0000 0.0000
0.0201 0.0201 0.6061
0.3169 0.3169 0.6833
0.6363 0.6363 0.3795
0.6816 0.6816 0.8815
0.3408 0.3408 0.2425
```

=====

Entry 4:
Below is a relaxed CoHg crystal, with properties calculated at the PBE level.

## Properties
* ΔH_f (0 K): 98 kJ/mol of formula units

POSCAR file:
```
CoHg
1.0
3.2322 -3.7500 0.0000
3.2322 3.7500 0.0000
0.0000 0.0000 6.5657
Co Hg
4 4
Direct
0.1351 0.8649 0.5795
0.1351 0.8649 0.9205
0.8649 0.1351 0.0795
0.8649 0.1351 0.4205
0.1527 0.3739 0.7500
0.3739 0.1527 0.2500
0.6261 0.8473 0.7500
0.8473 0.6261 0.2500
```

=====

Entry 5:
Below is a relaxed CoHg2 crystal, with properties calculated at the PBE level.

## Properties
* ΔH_f (0 K): 108 kJ/mol of formula units

POSCAR file:
```
CoHg2
1.0
1.5211 -9.7342 0.0000
1.5211 9.7342 0.0000
0.0000 0.0000 4.0670
Co Hg
2 4
Direct
0.0303 0.9697 0.7500
0.9697 0.0303 0.2500
0.2983 0.7017 0.2500
0.4103 0.5897 0.7500
0.5897 0.4103 0.2500
0.7017 0.2983 0.7500
```

=====

Entry 6:
Below is a relaxed CoHg2 crystal, with properties calculated at the PBE level.

## Properties
* ΔH_f (0 K): 147 kJ/mol of formula units

POSCAR file:
```
CoHg2
1.0
0.0000 3.1349 3.1349
3.1349 0.0000 3.1349
3.1349 3.1349 0.0000
Co Hg
1 2
Direct
0.0000 0.0000 0.0000
0.2500 0.2500 0.2500
0.7500 0.7500 0.7500
```

=====

Entry 7:
Below is a relaxed CoHg crystal, with properties calculated at the PBE level.

## Properties
* ΔH_f (0 K): 251 kJ/mol of formula units

POSCAR file:
```
CoHg
1.0
0.0000 2.9370 2.9370
2.9370 0.0000 2.9370
2.9370 2.9370 0.0000
Co Hg
1 1
Direct
0.0000 0.0000 0.0000
0.7500 0.7500 0.7500
```

=====

Entry 8:
Below is a relaxed Co3Hg crystal, with properties calculated at the PBE level.

## Properties
* ΔH_f (0 K): 174 kJ/mol of formula units

POSCAR file:
```
Co3Hg
1.0
0.0000 2.9996 2.9996
2.9996 0.0000 2.9996
2.9996 2.9996 0.0000
Co Hg
3 1
Direct
0.0000 0.0000 0.0000
0.2500 0.2500 0.2500
0.7500 0.7500 0.7500
0.5000 0.5000 0.5000
```

=====

Entry 9:
Below is a relaxed Co3Hg crystal, with properties calculated at the PBE level.

## Properties
* ΔH_f (0 K): 182 kJ/mol of formula units

POSCAR file:
```
Co3Hg
1.0
4.7779 0.0000 0.0000
0.0000 4.7779 0.0000
0.0000 0.0000 4.7779
Co Hg
6 2
Direct
0.0000 0.2500 0.5000
0.0000 0.7500 0.5000
0.2500 0.5000 0.0000
0.5000 0.0000 0.2500
0.5000 0.0000 0.7500
0.7500 0.5000 0.0000
0.0000 0.0000 0.0000
0.5000 0.5000 0.5000
```

=====

Entry 10:
Below is a relaxed Co3Hg crystal, with properties calculated at the PBE level.

## Properties
* ΔH_f (0 K): 148 kJ/mol of formula units

POSCAR file:
```
Co3Hg
1.0
4.2539 -1.3872 0.0000
4.2539 1.3872 0.0000
-0.9686 0.0000 4.6403
Co Hg
3 1
Direct
0.0000 0.0000 0.0000
0.2625 0.2625 0.8007
0.7375 0.7375 0.1993
0.5000 0.5000 0.5000
```

=====

Entry 11:
Below is a relaxed Co8Hg crystal, with properties calculated at the PBE level.

## Properties
* ΔH_f (0 K): 143 kJ/mol of formula units

POSCAR file:
```
Co8Hg
1.0
-3.8752 3.8752 1.8070
3.8752 -3.8752 1.8070
3.8752 3.8752 -1.8070
Co Hg
8 1
Direct
0.0000 0.3461 0.3461
0.0000 0.6539 0.6539
0.3184 0.3184 0.6368
0.3184 0.6816 0.0000
0.3461 0.0000 0.3461
0.6539 0.0000 0.6539
0.6816 0.3184 0.0000
0.6816 0.6816 0.3632
0.0000 0.0000 0.0000
```

=====

Entry 12:
Below is a relaxed CoHg crystal, with properties calculated at the PBE level.

## Properties
* ΔH_f (0 K): 90 kJ/mol of formula units

POSCAR file:
```
CoHg
1.0
3.0073 0.0000 0.0000
0.0000 4.1039 0.0000
-1.4710 0.0000 5.3315
Co Hg
2 2
Direct
0.0491 0.2500 0.1086
0.9509 0.7500 0.8914
0.3391 0.2500 0.6708
0.6609 0.7500 0.3292
```

=====

Entry 13:
Below is a relaxed CoHg3 crystal, with properties calculated at the PBE level.

## Properties
* excess energy over the best structure of this formula in the dataset: 106 meV per atom
* ΔH_f (0 K): 149 kJ/mol of formula units

POSCAR file:
```
CoHg3
1.0
-1.5335 4.6575 2.8989
1.5335 -4.6575 2.8989
1.5335 4.6575 -2.8989
Co Hg
1 3
Direct
0.0000 0.0000 0.0000
0.0004 0.2960 0.7044
0.3810 0.8810 0.5000
0.5917 0.2960 0.2956
```

=====

Entry 14:
Below is a relaxed CoHg3 crystal, with properties calculated at the PBE level.

## Properties
* excess energy over the best structure of this formula in the dataset: 117 meV per atom
* ΔH_f (0 K): 153 kJ/mol of formula units

POSCAR file:
```
CoHg3
1.0
3.1554 0.0000 0.0000
-1.5777 2.7326 0.0000
0.0000 0.0000 9.4504
Co Hg
1 3
Direct
0.0000 0.0000 0.0000
0.0000 0.0000 0.5000
0.3333 0.6667 0.2153
0.3333 0.6667 0.7847
```

=====

Entry 15:
Below is a relaxed CoHg crystal, with properties calculated at the PBE level.

## Properties
* ΔH_f (0 K): 122 kJ/mol of formula units

POSCAR file:
```
CoHg
1.0
0.0000 3.1995 3.1995
3.1995 0.0000 3.1995
3.1995 3.1995 0.0000
Co Hg
2 2
Direct
0.1250 0.1250 0.1250
0.8750 0.8750 0.8750
0.3750 0.3750 0.3750
0.6250 0.6250 0.6250
```

=====

Entry 16:
Below is a relaxed CoHg3 crystal, with properties calculated at the PBE level.

## Properties
* excess energy over the best structure of this formula in the dataset: 52 meV per atom
* ΔH_f (0 K): 128 kJ/mol of formula units

POSCAR file:
```
CoHg3
1.0
7.0868 0.0000 0.0000
0.0000 8.2098 0.0000
0.0000 0.0000 5.7098
Co Hg
4 12
Direct
0.1319 0.2500 0.0665
0.3681 0.7500 0.5665
0.6319 0.2500 0.4335
0.8681 0.7500 0.9335
0.0294 0.7500 0.3638
0.1743 0.5526 0.8504
0.1743 0.9474 0.8504
0.3257 0.0526 0.3504
0.3257 0.4474 0.3504
0.4706 0.2500 0.8638
0.5294 0.7500 0.1362
0.6743 0.5526 0.6496
0.6743 0.9474 0.6496
0.8257 0.0526 0.1496
0.8257 0.4474 0.1496
0.9706 0.2500 0.6362
```

=====

Entry 17:
Below is a relaxed Co3Hg crystal, with properties calculated at the PBE level.

## Properties
* ΔH_f (0 K): 155 kJ/mol of formula units

POSCAR file:
```
Co3Hg
1.0
2.7342 0.0000 0.0000
0.0000 4.1653 0.0000
0.0000 0.0000 4.7957
Co Hg
3 1
Direct
0.0000 0.0000 0.0000
0.0000 0.5000 0.2731
0.5000 0.0000 0.4135
0.5000 0.5000 0.7689
```

=====

Entry 18:
Below is a relaxed CoHg crystal, with properties calculated at the PBE level.

## Properties
* ΔH_f (0 K): 67 kJ/mol of formula units

POSCAR file:
```
CoHg
1.0
-4.8735 4.8735 1.4968
4.8735 -4.8735 1.4968
4.8735 4.8735 -1.4968
Co Hg
4 4
Direct
0.0701 0.3845 0.4546
0.3845 0.9299 0.3143
0.6155 0.0701 0.6857
0.9299 0.6155 0.5454
0.1213 0.8216 0.9429
0.1784 0.1213 0.2998
0.8216 0.8787 0.7002
0.8787 0.1784 0.0571
```

=====

Entry 19:
Below is a relaxed Co4Hg5 crystal, with properties calculated at the PBE level.

## Properties
* ΔH_f (0 K): 397 kJ/mol of formula units

POSCAR file:
```
Co4Hg5
1.0
-4.3726 4.3726 2.0529
4.3726 -4.3726 2.0529
4.3726 4.3726 -2.0529
Co Hg
4 5
Direct
0.0000 0.3699 0.3699
0.0000 0.6301 0.6301
0.3699 0.0000 0.3699
0.6301 0.0000 0.6301
0.0000 0.0000 0.0000
0.3271 0.3271 0.6542
0.3271 0.6729 0.0000
0.6729 0.3271 0.0000
0.6729 0.6729 0.3458
```

=====

Entry 20:
Below is a relaxed CoHg2 crystal, with properties calculated at the PBE level.

## Properties
* ΔH_f (0 K): 162 kJ/mol of formula units

POSCAR file:
```
CoHg2
1.0
4.6803 0.0000 0.0000
-2.3402 4.0533 0.0000
0.0000 0.0000 5.7640
Co Hg
2 4
Direct
0.3333 0.6667 0.2500
0.6667 0.3333 0.7500
0.0000 0.0000 0.0000
0.0000 0.0000 0.5000
0.3333 0.6667 0.7500
0.6667 0.3333 0.2500
```

=====

Entry 21:
Below is a relaxed Co3Hg2 crystal, with properties calculated at the PBE level.

## Properties
* ΔH_f (0 K): 305 kJ/mol of formula units

POSCAR file:
```
Co3Hg2
1.0
1.4168 0.8180 11.7357
-1.4168 0.8180 11.7357
0.0000 -1.6360 11.7357
Co Hg
3 2
Direct
0.0000 0.0000 0.0000
0.1910 0.1910 0.1910
0.8090 0.8090 0.8090
0.2679 0.2679 0.2679
0.7321 0.7321 0.7321
```

=====

Entry 22:
Below is a relaxed Co3Hg crystal, with properties calculated at the PBE level.

## Properties
* ΔH_f (0 K): 163 kJ/mol of formula units

POSCAR file:
```
Co3Hg
1.0
2.7359 0.0000 0.0000
-1.3680 2.3694 0.0000
0.0000 0.0000 8.5382
Co Hg
3 1
Direct
0.0000 0.0000 0.0000
0.6667 0.3333 0.2174
0.6667 0.3333 0.7826
0.0000 0.0000 0.5000
```

=====

Entry 23:
Below is a relaxed Co3Hg crystal, with properties calculated at the PBE level.

## Properties
* ΔH_f (0 K): 181 kJ/mol of formula units

POSCAR file:
```
Co3Hg
1.0
2.6593 -3.6491 0.0000
2.6593 3.6491 0.0000
0.0000 0.0000 2.7939
Co Hg
3 1
Direct
0.0000 0.0000 0.0000
0.0000 0.5000 0.5000
0.5000 0.0000 0.5000
0.5000 0.5000 0.0000
```

=====

Entry 24:
Below is a relaxed CoHg3 crystal, with properties calculated at the PBE level.

## Properties
* excess energy over the best structure of this formula in the dataset: 104 meV per atom
* ΔH_f (0 K): 148 kJ/mol of formula units

POSCAR file:
```
CoHg3
1.0
5.0906 0.0000 0.0000
0.0000 5.0906 0.0000
0.0000 0.0000 5.0906
Co Hg
1 3
Direct
0.0000 0.0000 0.0000
0.0000 0.0000 0.5000
0.0000 0.5000 0.0000
0.5000 0.0000 0.0000
```

=====

Entry 25:
Below is a relaxed CoHg3 crystal, with properties calculated at the PBE level.

## Properties
* excess energy over the best structure of this formula in the dataset: 170 meV per atom
* ΔH_f (0 K): 173 kJ/mol of formula units

POSCAR file:
```
CoHg3
1.0
3.6135 0.0000 0.0000
0.0000 4.2635 0.0000
-1.0468 0.0000 5.5018
Co Hg
1 3
Direct
0.0000 0.0000 0.0000
0.0000 0.0000 0.5000
0.3615 0.5000 0.2249
0.6385 0.5000 0.7751
```